DFT (GGA-PBE) results for a relaxed AcNdMg2Au4 crystal.

a b c (Å): 10.110 10.110 10.110
angles (deg): 27.32 27.32 27.32
Atoms (fractional coordinates):
Ac: 0.000 0.000 0.000
Nd: 0.500 0.500 0.500
Mg: 0.244 0.244 0.244
Mg: 0.756 0.756 0.756
Au: 0.113 0.113 0.113
Au: 0.395 0.395 0.395
Au: 0.605 0.605 0.605
Au: 0.887 0.887 0.887

* V: 24.0 Å³/atom
* size of the total moment: 0.0 μB/f.u.
* DFT formation energy: -0.74 eV per atom
* symmetry: No. 166

DFT (GGA-PBE) results for a relaxed AcMgNiAu crystal.

a b c (Å): 5.080 5.080 5.080
angles (deg): 60.00 60.00 60.00
Atoms (fractional coordinates):
Ac: 0.000 0.000 0.000
Mg: 0.500 0.500 0.500
Ni: 0.250 0.250 0.250
Au: 0.750 0.750 0.750

* V: 23.2 Å³/atom
* size of the total moment: 0.0 μB/f.u.
* DFT formation energy: -0.32 eV per atom
* symmetry: No. 216

DFT (GGA-PBE) results for a relaxed Ac2MgAuO5 crystal.

a b c (Å): 7.284 7.284 5.945
angles (deg): 90.00 90.00 90.00
Atoms (fractional coordinates):
Ac: 0.181 0.319 0.000
Ac: 0.319 0.819 0.000
Ac: 0.681 0.181 0.000
Ac: 0.819 0.681 0.000
Mg: 0.000 0.000 0.500
Mg: 0.500 0.500 0.500
Au: 0.000 0.500 0.500
Au: 0.500 0.000 0.500
O: 0.000 0.000 0.000
O: 0.133 0.633 0.249
O: 0.133 0.633 0.751
O: 0.367 0.133 0.249
O: 0.367 0.133 0.751
O: 0.500 0.500 0.000
O: 0.633 0.867 0.249
O: 0.633 0.867 0.751
O: 0.867 0.367 0.249
O: 0.867 0.367 0.751

* VASP energy: -110.17 eV per cell
* V: 17.5 Å³/atom
* size of the total moment: 0.0 μB/f.u.
* symmetry: No. 127

DFT (GGA-PBE) results for a relaxed AcMgPAu crystal.

a b c (Å): 5.153 5.153 5.153
angles (deg): 60.00 60.00 60.00
Atoms (fractional coordinates):
Ac: 0.000 0.000 0.000
Mg: 0.500 0.500 0.500
P: 0.750 0.750 0.750
Au: 0.250 0.250 0.250

* V: 24.2 Å³/atom
* size of the total moment: 0.0 μB/f.u.
* DFT formation energy: -0.64 eV per atom
* symmetry: No. 216

DFT (GGA-PBE) results for a relaxed Ac2MgPd3Au12 crystal.

a b c (Å): 8.503 8.503 8.503
angles (deg): 62.05 62.05 62.05
Atoms (fractional coordinates):
Ac: 0.114 0.114 0.114
Ac: 0.886 0.886 0.886
Mg: 0.500 0.500 0.500
Pd: 0.000 0.500 0.500
Pd: 0.500 0.000 0.500
Pd: 0.500 0.500 0.000
Au: 0.132 0.132 0.554
Au: 0.132 0.554 0.132
Au: 0.137 0.631 0.631
Au: 0.369 0.369 0.863
Au: 0.369 0.863 0.369
Au: 0.446 0.868 0.868
Au: 0.554 0.132 0.132
Au: 0.631 0.137 0.631
Au: 0.631 0.631 0.137
Au: 0.863 0.369 0.369
Au: 0.868 0.446 0.868
Au: 0.868 0.868 0.446

* V: 25.3 Å³/atom
* size of the total moment: 0.0 μB/f.u.
* DFT formation energy: -0.09 eV per atom
* symmetry: No. 166

DFT (GGA-PBE) results for a relaxed Ac2MgPdAu6 crystal.

a b c (Å): 6.924 6.924 9.383
angles (deg): 127.64 127.64 46.36
Atoms (fractional coordinates):
Ac: 0.222 0.222 0.193
Ac: 0.778 0.778 0.807
Mg: 0.000 0.000 0.500
Pd: 0.500 0.500 0.000
Au: 0.228 0.727 0.236
Au: 0.256 0.256 0.595
Au: 0.273 0.772 0.764
Au: 0.727 0.228 0.236
Au: 0.744 0.744 0.405
Au: 0.772 0.273 0.764

* V: 24.3 Å³/atom
* size of the total moment: 0.0 μB/f.u.
* DFT formation energy: -0.57 eV per atom
* symmetry: No. 12

DFT (GGA-PBE) results for a relaxed Ac2MgPd6Au crystal.

a b c (Å): 4.572 5.577 8.754
angles (deg): 88.45 89.98 66.60
Atoms (fractional coordinates):
Ac: 0.199 0.110 0.311
Ac: 0.801 0.890 0.689
Mg: 0.000 0.500 0.000
Pd: 0.095 0.307 0.656
Pd: 0.267 0.964 0.915
Pd: 0.466 0.572 0.161
Pd: 0.534 0.428 0.839
Pd: 0.733 0.036 0.085
Pd: 0.905 0.693 0.344
Au: 0.500 0.500 0.500

* V: 20.5 Å³/atom
* size of the total moment: 0.0 μB/f.u.
* DFT formation energy: -0.67 eV per atom
* symmetry: No. 2

DFT (GGA-PBE) results for a relaxed AcPmMg2Au4 crystal.

a b c (Å): 10.053 10.053 10.053
angles (deg): 27.47 27.47 27.47
Atoms (fractional coordinates):
Ac: 0.000 0.000 0.000
Pm: 0.500 0.500 0.500
Mg: 0.243 0.243 0.243
Mg: 0.757 0.757 0.757
Au: 0.114 0.114 0.114
Au: 0.395 0.395 0.395
Au: 0.605 0.605 0.605
Au: 0.886 0.886 0.886

* V: 23.9 Å³/atom
* size of the total moment: 0.0 μB/f.u.
* DFT formation energy: -0.75 eV per atom
* symmetry: No. 166

DFT (GGA-PBE) results for a relaxed AcPmMgAu crystal.

a b c (Å): 5.504 5.504 5.504
angles (deg): 60.00 60.00 60.00
Atoms (fractional coordinates):
Ac: 0.000 0.000 0.000
Pm: 0.500 0.500 0.500
Mg: 0.750 0.750 0.750
Au: 0.250 0.250 0.250

* V: 29.5 Å³/atom
* size of the total moment: 0.0 μB/f.u.
* DFT formation energy: -0.33 eV per atom
* symmetry: No. 216

DFT (GGA-PBE) results for a relaxed AcMgRhAu crystal.

a b c (Å): 5.080 5.080 5.080
angles (deg): 60.00 60.00 60.00
Atoms (fractional coordinates):
Ac: 0.000 0.000 0.000
Mg: 0.500 0.500 0.500
Rh: 0.750 0.750 0.750
Au: 0.250 0.250 0.250

* V: 23.2 Å³/atom
* size of the total moment: 0.0 μB/f.u.
* E above lowest polymorph: 0.175 eV per atom
* DFT formation energy: -0.47 eV per atom
* symmetry: No. 216

DFT (GGA-PBE) results for a relaxed Ac2MgRhAu crystal.

a b c (Å): 4.353 4.353 14.958
angles (deg): 90.00 90.00 90.00
Atoms (fractional coordinates):
Ac: 0.250 0.250 0.099
Ac: 0.250 0.250 0.703
Ac: 0.750 0.750 0.297
Ac: 0.750 0.750 0.901
Mg: 0.250 0.750 0.500
Mg: 0.750 0.250 0.500
Rh: 0.250 0.250 0.892
Rh: 0.750 0.750 0.108
Au: 0.250 0.250 0.377
Au: 0.750 0.750 0.623

* V: 28.3 Å³/atom
* size of the total moment: 0.0 μB/f.u.
* DFT formation energy: -0.66 eV per atom
* symmetry: No. 129

DFT (GGA-PBE) results for a relaxed AcMgRhAu crystal.

a b c (Å): 5.885 5.885 5.885
angles (deg): 45.51 45.51 45.51
Atoms (fractional coordinates):
Ac: 0.000 0.000 0.000
Mg: 0.490 0.490 0.490
Rh: 0.783 0.783 0.783
Au: 0.206 0.206 0.206

* V: 23.6 Å³/atom
* size of the total moment: 0.0 μB/f.u.
* E above lowest polymorph: 0.000 eV per atom
* DFT formation energy: -0.65 eV per atom
* symmetry: No. 160

DFT (GGA-PBE) results for a relaxed Ac2MgSbAu6 crystal.

a b c (Å): 5.378 6.033 8.276
angles (deg): 99.11 105.53 102.18
Atoms (fractional coordinates):
Ac: 0.049 0.295 0.199
Ac: 0.951 0.705 0.801
Mg: 0.500 0.000 0.500
Sb: 0.500 0.500 0.000
Au: 0.051 0.179 0.657
Au: 0.332 0.591 0.587
Au: 0.438 0.944 0.158
Au: 0.562 0.056 0.842
Au: 0.668 0.409 0.413
Au: 0.949 0.821 0.343

* VASP energy: -39.57 eV per cell
* V: 24.6 Å³/atom
* size of the total moment: 0.0 μB/f.u.
* symmetry: No. 2

DFT (GGA-PBE) results for a relaxed AcMgScAu2 crystal.

a b c (Å): 7.177 7.177 7.177
angles (deg): 144.28 144.28 51.41
Atoms (fractional coordinates):
Ac: 0.000 0.000 0.000
Mg: 0.750 0.250 0.500
Sc: 0.250 0.750 0.500
Au: 0.387 0.387 0.000
Au: 0.613 0.613 0.000

* V: 25.1 Å³/atom
* size of the total moment: 0.0 μB/f.u.
* DFT formation energy: -0.66 eV per atom
* symmetry: No. 119

DFT (GGA-PBE) results for a relaxed Ac2MgSi3Au4 crystal.

a b c (Å): 4.470 4.470 10.802
angles (deg): 90.00 90.00 90.00
Atoms (fractional coordinates):
Ac: 0.000 0.500 0.238
Ac: 0.500 0.000 0.762
Mg: 0.000 0.000 0.500
Si: 0.000 0.500 0.870
Si: 0.500 0.000 0.130
Si: 0.500 0.500 0.500
Au: 0.000 0.000 0.000
Au: 0.000 0.500 0.636
Au: 0.500 0.000 0.364
Au: 0.500 0.500 0.000

* VASP energy: -45.53 eV per cell
* V: 21.6 Å³/atom
* size of the total moment: 0.0 μB/f.u.
* symmetry: No. 115

DFT (GGA-PBE) results for a relaxed Ac2MgSi3Au12 crystal.

a b c (Å): 8.108 8.108 8.108
angles (deg): 66.94 66.94 66.94
Atoms (fractional coordinates):
Ac: 0.108 0.108 0.108
Ac: 0.892 0.892 0.892
Mg: 0.500 0.500 0.500
Si: 0.000 0.500 0.500
Si: 0.500 0.000 0.500
Si: 0.500 0.500 0.000
Au: 0.130 0.631 0.631
Au: 0.185 0.185 0.642
Au: 0.185 0.642 0.185
Au: 0.358 0.815 0.815
Au: 0.369 0.369 0.870
Au: 0.369 0.870 0.369
Au: 0.631 0.130 0.631
Au: 0.631 0.631 0.130
Au: 0.642 0.185 0.185
Au: 0.815 0.358 0.815
Au: 0.815 0.815 0.358
Au: 0.870 0.369 0.369

* VASP energy: -69.03 eV per cell
* V: 24.1 Å³/atom
* size of the total moment: 0.0 μB/f.u.
* symmetry: No. 166

DFT (GGA-PBE) results for a relaxed AcMg2SiAu4 crystal.

a b c (Å): 10.206 10.206 10.206
angles (deg): 25.38 25.38 25.38
Atoms (fractional coordinates):
Ac: 0.000 0.000 0.000
Mg: 0.235 0.235 0.235
Mg: 0.765 0.765 0.765
Si: 0.500 0.500 0.500
Au: 0.134 0.134 0.134
Au: 0.400 0.400 0.400
Au: 0.600 0.600 0.600
Au: 0.866 0.866 0.866

* VASP energy: -29.74 eV per cell
* V: 21.5 Å³/atom
* size of the total moment: 0.0 μB/f.u.
* symmetry: No. 166

DFT (GGA-PBE) results for a relaxed Ac2MgSiAu6 crystal.

a b c (Å): 6.023 6.778 7.267
angles (deg): 75.10 65.87 63.80
Atoms (fractional coordinates):
Ac: 0.240 0.215 0.296
Ac: 0.760 0.785 0.704
Mg: 0.500 0.500 0.500
Si: 0.000 0.000 0.000
Au: 0.236 0.756 0.248
Au: 0.250 0.240 0.769
Au: 0.256 0.618 0.881
Au: 0.744 0.382 0.119
Au: 0.750 0.760 0.231
Au: 0.764 0.244 0.752

* VASP energy: -40.32 eV per cell
* V: 24.2 Å³/atom
* size of the total moment: 0.0 μB/f.u.
* symmetry: No. 2

DFT (GGA-PBE) results for a relaxed AcMgSiAu crystal.

a b c (Å): 5.179 5.179 5.179
angles (deg): 60.00 60.00 60.00
Atoms (fractional coordinates):
Ac: 0.000 0.000 0.000
Mg: 0.500 0.500 0.500
Si: 0.750 0.750 0.750
Au: 0.250 0.250 0.250

* VASP energy: -16.20 eV per cell
* V: 24.6 Å³/atom
* size of the total moment: 0.0 μB/f.u.
* symmetry: No. 216

DFT (GGA-PBE) results for a relaxed AcSmMg2Au4 crystal.

a b c (Å): 10.014 10.014 10.014
angles (deg): 27.57 27.57 27.57
Atoms (fractional coordinates):
Ac: 0.000 0.000 0.000
Sm: 0.500 0.500 0.500
Mg: 0.242 0.242 0.242
Mg: 0.758 0.758 0.758
Au: 0.115 0.115 0.115
Au: 0.395 0.395 0.395
Au: 0.605 0.605 0.605
Au: 0.885 0.885 0.885

* V: 23.7 Å³/atom
* size of the total moment: 0.0 μB/f.u.
* DFT formation energy: -0.75 eV per atom
* symmetry: No. 166